(1)
Compound: ThZnH8Os2
Source: Alexandria
Functional: PBE-GGA
Structure: relaxed

The calculation puts the total magnetization at 0.00 Bohr magnetons per cell. The calculation puts the total DFT energy (no corrections) at -4.969 eV/atom.

The space group is C2/m (No. 12) and the conventional cell measures 8.1504, 4.3985 and 6.2285 Å, with angles of 90.00, 114.13 and 90.00 degrees. The distinct sites, in fractional coordinates, are Th at (0.0000, 0.0000, 0.0000), Zn at (0.0000, 0.5000, 0.5000), H at (0.0635, 0.5000, 0.1767), H at (0.1821, 0.2572, 0.8266), H at (0.2279, 0.0000, 0.3858) and Os at (0.2135, 0.0000, 0.6485).

=====

(2)
Compound: PuSb4O12
Source: Alexandria
Functional: PBE-GGA
Structure: relaxed

The value obtained for the uncorrected formation energy is -1.56 eV/atom. The calculation puts the total magnetization at 8.00 Bohr magnetons per cell.

The space group is Im-3 (No. 204) and the conventional cell measures 7.7080, 7.7080 and 7.7080 Å, with angles of 90.00, 90.00 and 90.00 degrees. The distinct sites, in fractional coordinates, are Pu at (0.0000, 0.0000, 0.0000), Sb at (0.2500, 0.2500, 0.2500) and O at (0.0000, 0.2726, 0.1843).

=====

(3)
Compound: CaIn2Sb
Source: Alexandria
Functional: PBE-GGA
Structure: relaxed

The value obtained for the uncorrected formation energy is -0.33 eV/atom. The calculation puts the total magnetization at 0.00 Bohr magnetons per cell.

The space group is I-42d (No. 122) and the conventional cell measures 8.7703, 8.7703 and 6.2942 Å, with angles of 90.00, 90.00 and 90.00 degrees. The distinct sites, in fractional coordinates, are Ca at (0.0000, 0.0000, 0.0000), In at (0.2179, 0.7500, 0.6250) and Sb at (0.0000, 0.0000, 0.5000).

=====

(4)
Compound: TbNdGa2Pt5
Source: Alexandria
Functional: PBE-GGA
Structure: relaxed

The calculation puts the total magnetization at 0.00 Bohr magnetons per cell. As for the formation enthalpy at 0 K: -0.9035 eV per atom.

The space group is P4/mmm (No. 123) and the conventional cell measures 4.2260, 4.2260 and 9.3827 Å, with angles of 90.00, 90.00 and 90.00 degrees. The distinct sites, in fractional coordinates, are Tb at (0.0000, 0.0000, 0.0000), Nd at (0.0000, 0.0000, 0.5000), Ga at (0.5000, 0.5000, 0.1304), Pt at (0.0000, 0.5000, 0.2701) and Pt at (0.5000, 0.5000, 0.5000).

=====

(5)
Compound: RbNa2Te2
Source: Alexandria
Functional: PBE-GGA
Structure: relaxed

The value obtained for the uncorrected formation energy is -0.83 eV/atom. The calculation puts the energy above the most stable polymorph in this dataset at 22.5 meV/atom. The calculation puts the total magnetization at 0.00 Bohr magnetons per cell.

The space group is P4/mbm (No. 127) and the conventional cell measures 9.3828, 9.3828 and 3.6276 Å, with angles of 90.00, 90.00 and 90.00 degrees. The distinct sites, in fractional coordinates, are Rb at (0.0000, 0.0000, 0.0000), Na at (0.1220, 0.3780, 0.0000) and Te at (0.1733, 0.6733, 0.5000).

=====

(6)
Compound: CuTcSn2
Source: Alexandria
Functional: PBE-GGA
Structure: relaxed

The calculation puts the energy above the most stable polymorph in this dataset at 212.1 meV/atom. The calculation puts the total magnetization at 0.00 Bohr magnetons per cell. As for the formation enthalpy at 0 K: 0.3412 eV per atom.

The space group is Fm-3m (No. 225) and the conventional cell measures 6.6064, 6.6064 and 6.6064 Å, with angles of 90.00, 90.00 and 90.00 degrees. The distinct sites, in fractional coordinates, are Cu at (0.0000, 0.0000, 0.0000), Tc at (0.0000, 0.0000, 0.5000) and Sn at (0.2500, 0.2500, 0.2500).

=====

(7)
Compound: CaCrW2
Source: Alexandria
Functional: PBE-GGA
Structure: relaxed

The calculation puts the energy above the most stable polymorph in this dataset at 167.8 meV/atom. The calculation puts the total magnetization at 0.66 Bohr magnetons per cell. As for the formation enthalpy at 0 K: 0.7959 eV per atom.

The space group is R-3m (No. 166, hexagonal axes) and the conventional cell measures 2.9779, 2.9779 and 27.6014 Å, with angles of 90.00, 90.00 and 120.00 degrees. The distinct sites, in fractional coordinates, are Ca at (0.0000, 0.0000, 0.0000), Cr at (0.0000, 0.0000, 0.5000) and W at (0.0000, 0.0000, 0.2349).

=====

(8)
Compound: SmErO3
Source: Alexandria
Functional: PBE-GGA
Structure: relaxed

The value obtained for the uncorrected formation energy is -3.48 eV/atom. The calculation puts the total magnetization at 0.00 Bohr magnetons per cell.

The space group is Pnma (No. 62) and the conventional cell measures 5.9959, 8.4518 and 5.7400 Å, with angles of 90.00, 90.00 and 90.00 degrees. The distinct sites, in fractional coordinates, are Sm at (0.0537, 0.2500, 0.0205), Er at (0.0000, 0.0000, 0.5000), O at (0.0693, 0.7500, 0.3588) and O at (0.1929, 0.5756, 0.8098).

=====

(9)
Compound: YMgBeCu
Source: Alexandria
Functional: PBE-GGA
Structure: relaxed

The calculation puts the total magnetization at 0.00 Bohr magnetons per cell. As for the formation enthalpy at 0 K: -0.0529 eV per atom.

The space group is F-43m (No. 216) and the conventional cell measures 6.5801, 6.5801 and 6.5801 Å, with angles of 90.00, 90.00 and 90.00 degrees. The distinct sites, in fractional coordinates, are Y at (0.0000, 0.0000, 0.0000), Mg at (0.0000, 0.0000, 0.5000), Be at (0.2500, 0.2500, 0.2500) and Cu at (0.2500, 0.2500, 0.7500).

=====

(10)
Compound: LaIn2Pd2
Source: Alexandria
Functional: PBE-GGA
Structure: relaxed

The calculation puts the total magnetization at 0.00 Bohr magnetons per cell. As for the formation enthalpy at 0 K: -0.5927 eV per atom.

The space group is R-3m (No. 166, hexagonal axes) and the conventional cell measures 4.9783, 4.9783 and 15.4808 Å, with angles of 90.00, 90.00 and 120.00 degrees. The distinct sites, in fractional coordinates, are La at (0.0000, 0.0000, 0.0000), In at (0.0000, 0.0000, 0.2229) and Pd at (0.0000, 0.0000, 0.4142).

=====

(11)
Compound: LaNi2Sn3
Source: Alexandria
Functional: PBE-GGA
Structure: relaxed

The calculation puts the total magnetization at 0.00 Bohr magnetons per cell. As for the formation enthalpy at 0 K: -0.4203 eV per atom.

The space group is C2/m (No. 12) and the conventional cell measures 17.1268, 4.4312 and 10.6260 Å, with angles of 90.00, 107.46 and 90.00 degrees. The distinct sites, in fractional coordinates, are La at (0.0000, 0.0000, 0.0000), La at (0.1546, 0.0000, 0.6996), Ni at (0.0121, 0.5000, 0.7691), Ni at (0.1396, 0.5000, 0.4378), Ni at (0.1951, 0.0000, 0.1094), Sn at (0.0000, 0.5000, 0.5000), Sn at (0.0450, 0.0000, 0.3422), Sn at (0.1305, 0.5000, 0.1851), Sn at (0.1617, 0.5000, 0.9339) and Sn at (0.2241, 0.0000, 0.3796).

=====

(12)
Compound: Tb2TlBi
Source: Alexandria
Functional: PBE-GGA
Structure: relaxed

The calculation puts the energy above the most stable polymorph in this dataset at 91.0 meV/atom. The calculation puts the total magnetization at 0.00 Bohr magnetons per cell. As for the formation enthalpy at 0 K: -0.4978 eV per atom.

The space group is P4/mmm (No. 123) and the conventional cell measures 4.0449, 4.0449 and 6.9941 Å, with angles of 90.00, 90.00 and 90.00 degrees. The distinct sites, in fractional coordinates, are Tb at (0.0000, 0.0000, 0.2460), Tl at (0.5000, 0.5000, 0.5000) and Bi at (0.5000, 0.5000, 0.0000).

=====

(13)
Compound: NpSiPt3
Source: Alexandria
Functional: PBE-GGA
Structure: relaxed

The value obtained for the uncorrected formation energy is -0.76 eV/atom. The calculation puts the energy above the most stable polymorph in this dataset at 0.0 meV/atom. The calculation puts the total magnetization at 7.35 Bohr magnetons per cell.

The space group is I4mm (No. 107) and the conventional cell measures 4.0084, 4.0084 and 11.1735 Å, with angles of 90.00, 90.00 and 90.00 degrees. The distinct sites, in fractional coordinates, are Np at (0.0000, 0.0000, 0.0000), Si at (0.0000, 0.0000, 0.3696), Pt at (0.0000, 0.0000, 0.5761) and Pt at (0.0000, 0.5000, 0.2511).

=====

(14)
Compound: SrCoBr
Source: Alexandria
Functional: PBE-GGA
Structure: relaxed

The value obtained for the uncorrected formation energy is -0.52 eV/atom. The calculation puts the total magnetization at 4.75 Bohr magnetons per cell.

The space group is Pnma (No. 62) and the conventional cell measures 8.0043, 3.9573 and 10.1845 Å, with angles of 90.00, 90.00 and 90.00 degrees. The distinct sites, in fractional coordinates, are Sr at (0.2282, 0.2500, 0.1628), Co at (0.0542, 0.2500, 0.4768) and Br at (0.0840, 0.2500, 0.8575).

=====

(15)
Compound: La2HoTl
Source: Alexandria
Functional: PBE-GGA
Structure: relaxed

The calculation puts the energy above the most stable polymorph in this dataset at 63.7 meV/atom. The calculation puts the total magnetization at 0.00 Bohr magnetons per cell. As for the formation enthalpy at 0 K: -0.1434 eV per atom.

The space group is P4/mmm (No. 123) and the conventional cell measures 3.7695, 3.7695 and 9.3906 Å, with angles of 90.00, 90.00 and 90.00 degrees. The distinct sites, in fractional coordinates, are La at (0.0000, 0.0000, 0.2321), Ho at (0.5000, 0.5000, 0.5000) and Tl at (0.5000, 0.5000, 0.0000).

=====

(16)
Compound: AgBPt3
Source: Alexandria
Functional: PBE-GGA
Structure: relaxed

The calculation puts the energy above the most stable polymorph in this dataset at 132.1 meV/atom. The calculation puts the total magnetization at 0.00 Bohr magnetons per cell. As for the formation enthalpy at 0 K: -0.0922 eV per atom.

The space group is R-3 (No. 148, hexagonal axes) and the conventional cell measures 4.8867, 4.8867 and 22.9331 Å, with angles of 90.00, 90.00 and 120.00 degrees. The distinct sites, in fractional coordinates, are Ag at (0.0000, 0.0000, 0.1667), B at (0.0000, 0.0000, 0.3331) and Pt at (0.0001, 0.3319, 0.9378).

=====

(17)
Compound: InBiN2
Source: Alexandria
Functional: PBE-GGA
Structure: relaxed

The value obtained for the uncorrected formation energy is 0.53 eV/atom. The calculation puts the energy above the most stable polymorph in this dataset at 0.0 meV/atom. The calculation puts the total magnetization at 0.00 Bohr magnetons per cell.

The space group is I-42d (No. 122) and the conventional cell measures 5.3103, 5.3103 and 10.5891 Å, with angles of 90.00, 90.00 and 90.00 degrees. The distinct sites, in fractional coordinates, are In at (0.0000, 0.0000, 0.0000), Bi at (0.0000, 0.0000, 0.5000) and N at (0.2194, 0.2500, 0.1250).

=====

(18)
Compound: LiGe2RhO6
Source: Alexandria
Functional: PBE-GGA
Structure: relaxed

The value obtained for the uncorrected formation energy is -1.46 eV/atom. The calculation puts the total magnetization at 0.00 Bohr magnetons per cell.

The space group is C2/c (No. 15) and the conventional cell measures 9.7746, 8.9217 and 5.3336 Å, with angles of 90.00, 102.92 and 90.00 degrees. The distinct sites, in fractional coordinates, are Li at (0.0000, 0.2326, 0.2500), Ge at (0.1983, 0.0930, 0.7871), Rh at (0.0000, 0.4081, 0.7500), O at (0.1115, 0.4136, 0.1296), O at (0.1204, 0.2511, 0.6223) and O at (0.1418, 0.0654, 0.0811).

=====

(19)
Compound: Tb2CeTe
Source: Alexandria
Functional: PBE-GGA
Structure: relaxed

The value obtained for the uncorrected formation energy is -0.19 eV/atom. The calculation puts the energy above the most stable polymorph in this dataset at 340.6 meV/atom. The calculation puts the total magnetization at 7.82 Bohr magnetons per cell.

The space group is R-3m (No. 166, hexagonal axes) and the conventional cell measures 3.8123, 3.8123 and 32.2395 Å, with angles of 90.00, 90.00 and 120.00 degrees. The distinct sites, in fractional coordinates, are Tb at (0.0000, 0.0000, 0.1016), Ce at (0.0000, 0.0000, 0.0000) and Te at (0.0000, 0.0000, 0.5000).

=====

(20)
Compound: VCrAs3
Source: Alexandria
Functional: PBE-GGA
Structure: relaxed

The calculation puts the energy above the most stable polymorph in this dataset at 755.8 meV/atom. The calculation puts the total magnetization at 4.42 Bohr magnetons per cell. As for the formation enthalpy at 0 K: 0.5819 eV per atom.

The space group is Pm-3m (No. 221) and the conventional cell measures 4.6516, 4.6516 and 4.6516 Å, with angles of 90.00, 90.00 and 90.00 degrees. The distinct sites, in fractional coordinates, are V at (0.0000, 0.0000, 0.0000), Cr at (0.5000, 0.5000, 0.5000) and As at (0.0000, 0.5000, 0.5000).